(1)
Compound: CeGe4Ir
Source: the Alexandria database
Functional: PBE-GGA
Structure: relaxed

Calculated values
formation energy	-0.419	eV/atom
electronic total energy	-5.963	eV/atom
spin magnetization	1.07	Bohr magnetons per cell

a b c (Å): 6.332 6.453 6.849
angles (deg): 83.60 89.99 60.63
Space group P-1 (No. 2)
Symmetry-distinct sites (fractional):
1 Ce 0.098 0.000 0.250 [2 per cell]
2 Ge 0.123 0.514 0.141 [2 per cell]
3 Ge 0.321 0.094 0.586 [2 per cell]
4 Ge 0.362 0.515 0.641 [2 per cell]
5 Ge 0.413 0.907 0.914 [2 per cell]
6 Ir 0.000 0.500 0.500 [1 per cell]
7 Ir 0.500 0.500 0.000 [1 per cell]

=====

(2)
Compound: Ce2GeIr2
Source: the Alexandria database
Functional: PBE-GGA
Structure: relaxed

Calculated values
formation energy	-0.727	eV/atom
electronic total energy	-7.568	eV/atom
spin magnetization	0.00	Bohr magnetons per cell

a b c (Å): 4.306 13.254 7.811
angles (deg): 90.00 90.00 90.00
Space group Cmc2_1 (No. 36)
Symmetry-distinct sites (fractional):
1 Ce 0.000 0.048 0.000 [4 per cell]
2 Ce 0.000 0.220 0.397 [4 per cell]
3 Ge 0.000 0.422 0.172 [4 per cell]
4 Ir 0.000 0.172 0.724 [4 per cell]
5 Ir 0.000 0.383 0.710 [4 per cell]

=====

(3)
Compound: CeGeIr
Source: the Alexandria database
Functional: PBE-GGA
Structure: relaxed

Calculated values
formation energy	-0.880	eV/atom
electronic total energy	-7.350	eV/atom
spin magnetization	0.00	Bohr magnetons per cell

a b c (Å): 7.040 4.401 7.653
angles (deg): 90.00 90.00 90.00
Space group Pnma (No. 62)
Symmetry-distinct sites (fractional):
1 Ce 0.014 0.250 0.199 [4 per cell]
2 Ge 0.177 0.250 0.583 [4 per cell]
3 Ir 0.218 0.750 0.410 [4 per cell]

=====

(4)
Compound: Ce3Ge2Ir
Source: the Alexandria database
Functional: PBE-GGA
Structure: relaxed

Calculated values
formation energy	-0.639	eV/atom
electronic total energy	-6.622	eV/atom
spin magnetization	7.67	Bohr magnetons per cell

a b c (Å): 7.970 9.115 8.405
angles (deg): 90.00 106.92 90.00
Space group C2/c (No. 15)
Symmetry-distinct sites (fractional):
1 Ce 0.000 0.247 0.250 [4 per cell]
2 Ce 0.247 0.027 0.959 [8 per cell]
3 Ge 0.092 0.213 0.629 [8 per cell]
4 Ir 0.000 0.450 0.750 [4 per cell]

=====

(5)
Compound: La2CeGe4Ir3
Source: the Alexandria database
Functional: PBE-GGA
Structure: relaxed

Calculated values
formation energy	-0.733	eV/atom
electronic total energy	-6.817	eV/atom
spin magnetization	0.00	Bohr magnetons per cell

a b c (Å): 4.328 4.328 11.315
angles (deg): 90.00 90.00 90.00
Space group P-4m2 (No. 115)
Symmetry-distinct sites (fractional):
1 La 0.000 0.500 0.227 [2 per cell]
2 Ce 0.000 0.000 0.500 [1 per cell]
3 Ge 0.000 0.000 0.000 [1 per cell]
4 Ge 0.000 0.500 0.672 [2 per cell]
5 Ge 0.500 0.500 0.000 [1 per cell]
6 Ir 0.000 0.500 0.888 [2 per cell]
7 Ir 0.500 0.500 0.500 [1 per cell]

=====

(6)
Compound: LaCe2Ge2Ir2
Source: the Alexandria database
Functional: PBE-GGA
Structure: relaxed

Calculated values
formation energy	-0.776	eV/atom
electronic total energy	-7.027	eV/atom
spin magnetization	0.00	Bohr magnetons per cell

a b c (Å): 4.4492 4.4492 26.4449
angles (deg): 90.00 90.00 120.00
Space group R-3m (No. 166, hexagonal axes)
Symmetry-distinct sites (fractional):
1 La 0.0000 0.0000 0.0000 [3 per cell]
2 Ce 0.0000 0.0000 0.1397 [6 per cell]
3 Ge 0.0000 0.0000 0.2610 [6 per cell]
4 Ir 0.0000 0.0000 0.4255 [6 per cell]